# 1
A geometry-optimized K2CuTcO structure. Source: the Alexandria database, functional PBE-GGA.

Structure (CIF):
```
data_K2CuTcO
_cell_length_a 6.010
_cell_length_b 6.010
_cell_length_c 4.757
_cell_angle_alpha 90.00
_cell_angle_beta 90.00
_cell_angle_gamma 90.00
_symmetry_space_group_name_H-M 'P 4/m m m'
_symmetry_Int_Tables_number 123
_symmetry_space_group_name_Hall '-P 4 2'
loop_
_atom_site_label
_atom_site_fract_x
_atom_site_fract_y
_atom_site_fract_z
_atom_site_occupancy
K1 0.000 0.500 0.000 1
Cu1 0.000 0.000 0.000 1
Tc1 0.000 0.000 0.500 1
O1 0.500 0.500 0.500 1
```

Values from the calculation:
Energy ... -3.287 eV/atom



# 2
A geometry-optimized K3CuTc2O8 structure. Source: the Alexandria database, functional PBE-GGA.

Structure (CIF):
```
data_K3CuTc2O8
_cell_length_a 5.8672
_cell_length_b 5.8672
_cell_length_c 7.6567
_cell_angle_alpha 90.00
_cell_angle_beta 90.00
_cell_angle_gamma 120.00
_symmetry_space_group_name_H-M 'P -3 m 1'
_symmetry_Int_Tables_number 164
_symmetry_space_group_name_Hall '-P 3 2"'
loop_
_atom_site_label
_atom_site_fract_x
_atom_site_fract_y
_atom_site_fract_z
_atom_site_occupancy
K1 0.0000 0.0000 0.0000 1
K2 0.3333 0.6667 0.6571 1
Cu1 0.0000 0.0000 0.5000 1
Tc1 0.3333 0.6667 0.2279 1
O1 0.1682 0.3365 0.3189 1
O2 0.3333 0.6667 0.9966 1
```

Values from the calculation:
Energy ... -6.274 eV/atom



# 3
A geometry-optimized KCuTeO4 structure. Source: the Alexandria database, functional PBE-GGA.

Structure (CIF):
```
data_KCuTeO4
_cell_length_a 6.380
_cell_length_b 6.372
_cell_length_c 7.447
_cell_angle_alpha 90.00
_cell_angle_beta 115.34
_cell_angle_gamma 90.00
_symmetry_space_group_name_H-M 'P 1 21/m 1'
_symmetry_Int_Tables_number 11
loop_
_symmetry_equiv_pos_as_xyz
'x,y,z'
'-x,-y,-z'
'-x,y+1/2,-z'
'x,-y+1/2,z'
loop_
_atom_site_label
_atom_site_fract_x
_atom_site_fract_y
_atom_site_fract_z
_atom_site_occupancy
K1 0.168 0.250 0.496 1
Cu1 0.394 0.250 0.181 1
Te1 0.231 0.750 0.160 1
O1 0.035 0.250 0.086 1
O2 0.140 0.750 0.364 1
O3 0.456 0.533 0.218 1
```

Values from the calculation:
Energy ... -4.985 eV/atom



# 4
A geometry-optimized KCu4Te3O12 structure. Source: the Alexandria database, functional PBE-GGA.

Structure (CIF):
```
data_KCu4Te3O12
_cell_length_a 11.3545
_cell_length_b 11.3545
_cell_length_c 7.6507
_cell_angle_alpha 90.00
_cell_angle_beta 90.00
_cell_angle_gamma 120.00
_symmetry_space_group_name_H-M 'R 3 2'
_symmetry_Int_Tables_number 155
_symmetry_space_group_name_Hall 'R 3 2"'
loop_
_atom_site_label
_atom_site_fract_x
_atom_site_fract_y
_atom_site_fract_z
_atom_site_occupancy
K1 0.0000 0.0000 0.0000 1
Cu1 0.0000 0.0000 0.5000 1
Cu2 0.0000 0.3640 0.5000 1
Te1 0.0000 0.5719 0.0000 1
O1 0.0000 0.6021 0.5000 1
O2 0.0000 0.8262 0.5000 1
O3 0.0717 0.2225 0.2100 1
```

Values from the calculation:
Energy ... -5.158 eV/atom



# 5
A geometry-optimized K2Cu2TeO6 structure. Source: the Alexandria database, functional PBE-GGA.

Structure (CIF):
```
data_K2Cu2TeO6
_cell_length_a 5.8574
_cell_length_b 5.8574
_cell_length_c 17.3001
_cell_angle_alpha 90.00
_cell_angle_beta 90.00
_cell_angle_gamma 120.00
_symmetry_space_group_name_H-M 'R -3 m'
_symmetry_Int_Tables_number 166
_symmetry_space_group_name_Hall '-R 3 2"'
loop_
_atom_site_label
_atom_site_fract_x
_atom_site_fract_y
_atom_site_fract_z
_atom_site_occupancy
K1 0.0000 0.0000 0.2094 1
Cu1 0.0000 0.0000 0.3948 1
Te1 0.0000 0.0000 0.0000 1
O1 0.0306 0.5153 0.7375 1
```

Values from the calculation:
Energy ... -4.971 eV/atom



# 6
A geometry-optimized KCu2TeO6 structure. Source: the Alexandria database, functional PBE-GGA.

Structure (CIF):
```
data_KCu2TeO6
_cell_length_a 8.951
_cell_length_b 11.572
_cell_length_c 7.083
_cell_angle_alpha 90.00
_cell_angle_beta 114.89
_cell_angle_gamma 90.00
_symmetry_space_group_name_H-M 'C 1 2/c 1'
_symmetry_Int_Tables_number 15
loop_
_symmetry_equiv_pos_as_xyz
'x,y,z'
'-x,-y,-z'
'-x,y,-z+1/2'
'x,-y,z+1/2'
'x+1/2,y+1/2,z'
'-x+1/2,-y+1/2,-z'
'-x+1/2,y+1/2,-z+1/2'
'x+1/2,-y+1/2,z+1/2'
loop_
_atom_site_label
_atom_site_fract_x
_atom_site_fract_y
_atom_site_fract_z
_atom_site_occupancy
K1 0.000 0.139 0.250 1
Cu1 0.129 0.459 0.179 1
Te1 0.000 0.175 0.750 1
O1 0.084 0.259 0.992 1
O2 0.104 0.461 0.432 1
O3 0.138 0.068 0.698 1
```

Values from the calculation:
Energy ... -5.001 eV/atom



# 7
A geometry-optimized K2CuTeO5 structure. Source: the Alexandria database, functional PBE-GGA.

Structure (CIF):
```
data_K2CuTeO5
_cell_length_a 3.165
_cell_length_b 16.921
_cell_length_c 11.099
_cell_angle_alpha 90.00
_cell_angle_beta 90.00
_cell_angle_gamma 90.00
_symmetry_space_group_name_H-M 'C m c 21'
_symmetry_Int_Tables_number 36
loop_
_symmetry_equiv_pos_as_xyz
'x,y,z'
'-x,-y,z+1/2'
'-x,y,z'
'x,-y,z+1/2'
'x+1/2,y+1/2,z'
'-x+1/2,-y+1/2,z+1/2'
'-x+1/2,y+1/2,z'
'x+1/2,-y+1/2,z+1/2'
loop_
_atom_site_label
_atom_site_fract_x
_atom_site_fract_y
_atom_site_fract_z
_atom_site_occupancy
K1 0.000 0.099 0.000 1
K2 0.000 0.120 0.633 1
Cu1 0.000 0.435 0.766 1
Te1 0.000 0.225 0.344 1
O1 0.000 0.108 0.355 1
O2 0.000 0.276 0.963 1
O3 0.000 0.287 0.725 1
O4 0.000 0.334 0.330 1
O5 0.000 0.494 0.635 1
```

Values from the calculation:
Energy ... -4.849 eV/atom



# 8
A geometry-optimized K2TiCuO4 structure. Source: the Alexandria database, functional PBE-GGA.

Structure (CIF):
```
data_K2TiCuO4
_cell_length_a 5.072
_cell_length_b 11.876
_cell_length_c 19.957
_cell_angle_alpha 90.00
_cell_angle_beta 90.00
_cell_angle_gamma 90.00
_symmetry_space_group_name_H-M 'F d d d'
_symmetry_Int_Tables_number 70
loop_
_symmetry_equiv_pos_as_xyz
'x,y,z'
'-x,-y,-z'
'-x+1/4,-y+1/4,z'
'x+1/4,y+1/4,-z'
'x,-y+1/4,-z+1/4'
'-x,y+1/4,z+1/4'
'-x+1/4,y,-z+1/4'
'x+1/4,-y,z+1/4'
'x,y+1/2,z+1/2'
'-x,-y+1/2,-z+1/2'
'-x+1/4,-y+3/4,z+1/2'
'x+1/4,y+3/4,-z+1/2'
'x,-y+3/4,-z+3/4'
'-x,y+3/4,z+3/4'
'-x+1/4,y+1/2,-z+3/4'
'x+1/4,-y+1/2,z+3/4'
'x+1/2,y,z+1/2'
'-x+1/2,-y,-z+1/2'
'-x+3/4,-y+1/4,z+1/2'
'x+3/4,y+1/4,-z+1/2'
'x+1/2,-y+1/4,-z+3/4'
'-x+1/2,y+1/4,z+3/4'
'-x+3/4,y,-z+3/4'
'x+3/4,-y,z+3/4'
'x+1/2,y+1/2,z'
'-x+1/2,-y+1/2,-z'
'-x+3/4,-y+3/4,z'
'x+3/4,y+3/4,-z'
'x+1/2,-y+3/4,-z+1/4'
'-x+1/2,y+3/4,z+1/4'
'-x+3/4,y+1/2,-z+1/4'
'x+3/4,-y+1/2,z+1/4'
loop_
_atom_site_label
_atom_site_fract_x
_atom_site_fract_y
_atom_site_fract_z
_atom_site_occupancy
K1 0.125 0.125 0.303 1
Ti1 0.125 0.125 0.125 1
Cu1 0.125 0.125 0.625 1
O1 0.101 0.284 0.423 1
```

Values from the calculation:
Energy ... -6.026 eV/atom



Number 1: formation energy (no corrections) 1.036 eV/atom. Number 2: formation energy (no corrections) -1.432 eV/atom. Number 3: formation energy (no corrections) -0.961 eV/atom. Number 4: formation energy (no corrections) -0.837 eV/atom. Number 5: formation energy (no corrections) -1.036 eV/atom. Number 6: formation energy (no corrections) -0.783 eV/atom. Number 7: formation energy (no corrections) -1.047 eV/atom. Number 8: formation energy (no corrections) -1.774 eV/atom.